A plane-wave DFT calculation with PBE-GGA was carried out for a relaxed structure of Ti3SiGe2.

Formation energy (no corrections) (eV/f.u.): -3.1
V (A^3/atom): 16.08
Space group: No. 62

a = 10.552 Å, b = 3.714 Å, c = 9.849 Å
α = 90.00°, β = 90.00°, γ = 90.00°
Fractional coordinates of all 24 atoms:
Ti 0.044 0.250 0.116
Ti 0.121 0.750 0.559
Ti 0.234 0.250 0.783
Ti 0.266 0.750 0.283
Ti 0.379 0.250 0.059
Ti 0.456 0.750 0.616
Ti 0.544 0.250 0.384
Ti 0.621 0.750 0.941
Ti 0.734 0.250 0.717
Ti 0.766 0.750 0.217
Ti 0.879 0.250 0.441
Ti 0.956 0.750 0.884
Si 0.123 0.250 0.373
Si 0.377 0.750 0.873
Si 0.623 0.250 0.127
Si 0.877 0.750 0.627
Ge 0.005 0.250 0.705
Ge 0.185 0.750 0.007
Ge 0.315 0.250 0.507
Ge 0.495 0.750 0.205
Ge 0.505 0.250 0.795
Ge 0.685 0.750 0.493
Ge 0.815 0.250 0.993
Ge 0.995 0.750 0.295


A plane-wave DFT calculation with PBE-GGA was carried out for a relaxed structure of Ti2SiGe.

Formation energy (no corrections) (eV/f.u.): -1.8
V (A^3/atom): 16.97
Space group: No. 166

a = 6.202 Å, b = 6.202 Å, c = 6.202 Å
α = 34.40°, β = 34.40°, γ = 34.40°
Fractional coordinates of all 4 atoms:
Ti 0.248 0.248 0.248
Ti 0.752 0.752 0.752
Si 0.500 0.500 0.500
Ge 0.000 0.000 0.000


A plane-wave DFT calculation with PBE-GGA was carried out for a relaxed structure of Ti7Si2Ge2.

Formation energy (no corrections) (eV/f.u.): -2.3
V (A^3/atom): 17.82
Space group: No. 65

a = 5.848 Å, b = 5.848 Å, c = 5.886 Å
α = 90.00°, β = 90.00°, γ = 103.18°
Fractional coordinates of all 11 atoms:
Ti 0.000 0.000 0.000
Ti 0.000 0.500 0.274
Ti 0.000 0.500 0.726
Ti 0.500 0.000 0.274
Ti 0.500 0.000 0.726
Ti 0.500 0.500 0.261
Ti 0.500 0.500 0.739
Si 0.279 0.721 0.000
Si 0.721 0.279 0.000
Ge 0.178 0.178 0.500
Ge 0.822 0.822 0.500


A plane-wave DFT calculation with PBE-GGA was carried out for a relaxed structure of Ti4SiGe2.

Formation energy (no corrections) (eV/f.u.): -2.4
Excess energy over the best structure of this formula in the dataset (meV per atom): 0.0
V (A^3/atom): 17.74
Space group: No. 63

a = 6.336 Å, b = 6.336 Å, c = 11.676 Å
α = 90.00°, β = 90.00°, γ = 148.02°
Fractional coordinates of all 14 atoms:
Ti 0.000 0.000 0.000
Ti 0.000 0.000 0.500
Ti 0.277 0.723 0.631
Ti 0.277 0.723 0.869
Ti 0.460 0.540 0.250
Ti 0.540 0.460 0.750
Ti 0.723 0.277 0.131
Ti 0.723 0.277 0.369
Si 0.108 0.892 0.250
Si 0.892 0.108 0.750
Ge 0.361 0.639 0.064
Ge 0.361 0.639 0.436
Ge 0.639 0.361 0.564
Ge 0.639 0.361 0.936


A plane-wave DFT calculation with PBE-GGA was carried out for a relaxed structure of Ti7SiGe3.

Formation energy (no corrections) (eV/f.u.): -3.4
V (A^3/atom): 16.92
Space group: No. 71

a = 6.700 Å, b = 6.700 Å, c = 6.700 Å
α = 137.68°, β = 106.20°, γ = 88.95°
Fractional coordinates of all 11 atoms:
Ti 0.000 0.000 0.000
Ti 0.094 0.758 0.336
Ti 0.318 0.500 0.818
Ti 0.422 0.758 0.664
Ti 0.578 0.242 0.336
Ti 0.682 0.500 0.182
Ti 0.906 0.242 0.664
Si 0.000 0.500 0.500
Ge 0.271 0.271 0.000
Ge 0.500 0.000 0.500
Ge 0.729 0.729 0.000


A plane-wave DFT calculation with PBE-GGA was carried out for a relaxed structure of Ti8Si2Ge.

Formation energy (no corrections) (eV/f.u.): -4.9
V (A^3/atom): 15.96
Space group: No. 12

a = 7.309 Å, b = 7.309 Å, c = 6.725 Å
α = 114.23°, β = 114.23°, γ = 32.73°
Fractional coordinates of all 11 atoms:
Ti 0.034 0.034 0.258
Ti 0.167 0.167 0.742
Ti 0.325 0.325 0.588
Ti 0.405 0.405 0.052
Ti 0.595 0.595 0.948
Ti 0.675 0.675 0.412
Ti 0.833 0.833 0.258
Ti 0.966 0.966 0.742
Si 0.200 0.200 0.165
Si 0.800 0.800 0.835
Ge 0.500 0.500 0.500


A plane-wave DFT calculation with PBE-GGA was carried out for a relaxed structure of Ti2SiGe2.

Formation energy (no corrections) (eV/f.u.): -1.8
V (A^3/atom): 16.78
Space group: No. 127

a = 6.629 Å, b = 6.629 Å, c = 3.817 Å
α = 90.00°, β = 90.00°, γ = 90.00°
Fractional coordinates of all 10 atoms:
Ti 0.171 0.329 0.000
Ti 0.329 0.829 0.000
Ti 0.671 0.171 0.000
Ti 0.829 0.671 0.000
Si 0.000 0.000 0.000
Si 0.500 0.500 0.000
Ge 0.138 0.638 0.500
Ge 0.362 0.138 0.500
Ge 0.638 0.862 0.500
Ge 0.862 0.362 0.500


A plane-wave DFT calculation with PBE-GGA was carried out for a relaxed structure of Ti2SiGe.

Formation energy (no corrections) (eV/f.u.): -1.1
V (A^3/atom): 16.61
Space group: No. 122

a = 5.625 Å, b = 5.625 Å, c = 5.625 Å
α = 104.12°, β = 104.12°, γ = 120.80°
Fractional coordinates of all 8 atoms:
Ti 0.120 0.625 0.995
Ti 0.375 0.370 0.495
Ti 0.630 0.125 0.005
Ti 0.875 0.880 0.505
Si 0.000 0.000 0.000
Si 0.750 0.250 0.500
Ge 0.250 0.750 0.500
Ge 0.500 0.500 0.000


A plane-wave DFT calculation with PBE-GGA was carried out for a relaxed structure of Ti10Si3Ge3.

Formation energy (no corrections) (eV/f.u.): -11.7
V (A^3/atom): 15.83
Space group: No. 189

a = 7.525 Å, b = 7.525 Å, c = 5.167 Å
α = 90.00°, β = 90.00°, γ = 120.00°
Fractional coordinates of all 16 atoms:
Ti 0.000 0.251 0.000
Ti 0.000 0.750 0.500
Ti 0.250 0.250 0.500
Ti 0.251 0.000 0.000
Ti 0.333 0.667 0.247
Ti 0.333 0.667 0.753
Ti 0.667 0.333 0.247
Ti 0.667 0.333 0.753
Ti 0.749 0.749 0.000
Ti 0.750 0.000 0.500
Si 0.000 0.611 0.000
Si 0.389 0.389 0.000
Si 0.611 0.000 0.000
Ge 0.000 0.392 0.500
Ge 0.392 0.000 0.500
Ge 0.608 0.608 0.500


A plane-wave DFT calculation with PBE-GGA was carried out for a relaxed structure of Ti4SiGe2.

Formation energy (no corrections) (eV/f.u.): 0.1
Excess energy over the best structure of this formula in the dataset (meV per atom): 356.1
V (A^3/atom): 19.10
Space group: No. 139

a = 7.520 Å, b = 7.520 Å, c = 7.520 Å
α = 145.80°, β = 145.80°, γ = 49.14°
Fractional coordinates of all 7 atoms:
Ti 0.000 0.500 0.500
Ti 0.174 0.174 0.000
Ti 0.500 0.000 0.500
Ti 0.826 0.826 0.000
Si 0.000 0.000 0.000
Ge 0.364 0.364 0.000
Ge 0.636 0.636 0.000


A plane-wave DFT calculation with PBE-GGA was carried out for a relaxed structure of TlSi2Ge.

Formation energy (no corrections) (eV/f.u.): 2.7
Excess energy over the best structure of this formula in the dataset (meV per atom): 283.3
V (A^3/atom): 20.25
Space group: No. 225

a = 4.857 Å, b = 4.857 Å, c = 4.857 Å
α = 60.00°, β = 60.00°, γ = 60.00°
Fractional coordinates of all 4 atoms:
Tl 0.000 0.000 0.000
Si 0.250 0.250 0.250
Si 0.750 0.750 0.750
Ge 0.500 0.500 0.500


A plane-wave DFT calculation with PBE-GGA was carried out for a relaxed structure of Tl2SiGe2.

Formation energy (no corrections) (eV/f.u.): 1.3
V (A^3/atom): 24.91
Space group: No. 127

a = 6.524 Å, b = 6.524 Å, c = 5.853 Å
α = 90.00°, β = 90.00°, γ = 90.00°
Fractional coordinates of all 10 atoms:
Tl 0.187 0.313 0.000
Tl 0.313 0.813 0.000
Tl 0.687 0.187 0.000
Tl 0.813 0.687 0.000
Si 0.000 0.000 0.500
Si 0.500 0.500 0.500
Ge 0.138 0.638 0.500
Ge 0.362 0.138 0.500
Ge 0.638 0.862 0.500
Ge 0.862 0.362 0.500


A plane-wave DFT calculation with PBE-GGA was carried out for a relaxed structure of TlSi2Ge.

Formation energy (no corrections) (eV/f.u.): 1.5
Excess energy over the best structure of this formula in the dataset (meV per atom): 0.0
V (A^3/atom): 25.44
Space group: No. 122

a = 7.100 Å, b = 7.100 Å, c = 7.100 Å
α = 130.26°, β = 130.26°, γ = 72.99°
Fractional coordinates of all 8 atoms:
Tl 0.000 0.000 0.000
Tl 0.750 0.250 0.500
Si 0.159 0.625 0.034
Si 0.375 0.409 0.534
Si 0.591 0.125 0.966
Si 0.875 0.841 0.466
Ge 0.250 0.750 0.500
Ge 0.500 0.500 0.000


A plane-wave DFT calculation with PBE-GGA was carried out for a relaxed structure of Tl2SiGe.

Formation energy (no corrections) (eV/f.u.): 2.0
Excess energy over the best structure of this formula in the dataset (meV per atom): 0.0
V (A^3/atom): 24.07
Space group: No. 225

a = 5.145 Å, b = 5.145 Å, c = 5.145 Å
α = 60.00°, β = 60.00°, γ = 60.00°
Fractional coordinates of all 4 atoms:
Tl 0.250 0.250 0.250
Tl 0.750 0.750 0.750
Si 0.000 0.000 0.000
Ge 0.500 0.500 0.500


A plane-wave DFT calculation with PBE-GGA was carried out for a relaxed structure of Tl2SiGe.

Formation energy (no corrections) (eV/f.u.): 2.3
Excess energy over the best structure of this formula in the dataset (meV per atom): 81.7
V (A^3/atom): 30.33
Space group: No. 122

a = 8.272 Å, b = 8.272 Å, c = 8.272 Å
α = 138.85°, β = 138.85°, γ = 59.60°
Fractional coordinates of all 8 atoms:
Tl 0.112 0.625 0.987
Tl 0.375 0.362 0.487
Tl 0.638 0.125 0.013
Tl 0.875 0.888 0.513
Si 0.000 0.000 0.000
Si 0.750 0.250 0.500
Ge 0.250 0.750 0.500
Ge 0.500 0.500 0.000


A plane-wave DFT calculation with PBE-GGA was carried out for a relaxed structure of Tl3SiGe.

Formation energy (no corrections) (eV/f.u.): 3.2
Excess energy over the best structure of this formula in the dataset (meV per atom): 0.0
V (A^3/atom): 30.39
Space group: No. 221

a = 5.336 Å, b = 5.336 Å, c = 5.336 Å
α = 90.00°, β = 90.00°, γ = 90.00°
Fractional coordinates of all 5 atoms:
Tl 0.000 0.000 0.500
Tl 0.000 0.500 0.000
Tl 0.500 0.000 0.000
Si 0.000 0.000 0.000
Ge 0.500 0.500 0.500


A plane-wave DFT calculation with PBE-GGA was carried out for a relaxed structure of Tm7Si2Ge2.

Formation energy (no corrections) (eV/f.u.): -3.7
V (A^3/atom): 26.30
Space group: No. 65

a = 6.641 Å, b = 6.641 Å, c = 6.719 Å
α = 90.00°, β = 90.00°, γ = 102.53°
Fractional coordinates of all 11 atoms:
Tm 0.000 0.000 0.000
Tm 0.000 0.500 0.269
Tm 0.000 0.500 0.731
Tm 0.500 0.000 0.269
Tm 0.500 0.000 0.731
Tm 0.500 0.500 0.255
Tm 0.500 0.500 0.745
Si 0.276 0.724 0.000
Si 0.724 0.276 0.000
Ge 0.196 0.196 0.500
Ge 0.804 0.804 0.500


A plane-wave DFT calculation with PBE-GGA was carried out for a relaxed structure of Tm2SiGe.

Formation energy (no corrections) (eV/f.u.): -3.3
V (A^3/atom): 21.28
Space group: No. 11

a = 5.647 Å, b = 3.858 Å, c = 8.204 Å
α = 90.00°, β = 107.74°, γ = 90.00°
Fractional coordinates of all 8 atoms:
Tm 0.205 0.250 0.428
Tm 0.287 0.750 0.068
Tm 0.713 0.250 0.932
Tm 0.795 0.750 0.572
Si 0.127 0.250 0.791
Si 0.873 0.750 0.209
Ge 0.375 0.750 0.709
Ge 0.625 0.250 0.291


A plane-wave DFT calculation with PBE-GGA was carried out for a relaxed structure of Tm4SiGe2.

Formation energy (no corrections) (eV/f.u.): -5.6
V (A^3/atom): 23.39
Space group: No. 122

a = 7.521 Å, b = 7.521 Å, c = 7.521 Å
α = 109.45°, β = 109.45°, γ = 109.52°
Fractional coordinates of all 14 atoms:
Tm 0.127 0.009 0.750
Tm 0.127 0.509 0.750
Tm 0.259 0.377 0.250
Tm 0.491 0.241 0.618
Tm 0.623 0.873 0.382
Tm 0.623 0.873 0.882
Tm 0.759 0.377 0.250
Tm 0.991 0.741 0.118
Si 0.250 0.750 0.500
Si 0.500 0.500 0.000
Ge 0.000 0.125 0.375
Ge 0.375 0.000 0.125
Ge 0.750 0.625 0.625
Ge 0.875 0.250 0.875


A plane-wave DFT calculation with PBE-GGA was carried out for a relaxed structure of Tm3Si2Ge2.

Formation energy (no corrections) (eV/f.u.): -4.9
V (A^3/atom): 20.45
Space group: No. 12

a = 5.626 Å, b = 5.626 Å, c = 7.330 Å
α = 112.14°, β = 112.14°, γ = 42.42°
Fractional coordinates of all 7 atoms:
Tm 0.000 0.000 0.000
Tm 0.181 0.181 0.642
Tm 0.819 0.819 0.358
Si 0.307 0.307 0.075
Si 0.693 0.693 0.925
Ge 0.459 0.459 0.657
Ge 0.541 0.541 0.343


A plane-wave DFT calculation with PBE-GGA was carried out for a relaxed structure of Tm8SiGe5.

Formation energy (no corrections) (eV/f.u.): -11.6
V (A^3/atom): 23.50
Space group: No. 82

a = 7.532 Å, b = 7.532 Å, c = 7.532 Å
α = 109.46°, β = 109.46°, γ = 109.50°
Fractional coordinates of all 14 atoms:
Tm 0.124 0.241 0.751
Tm 0.125 0.743 0.751
Tm 0.257 0.007 0.381
Tm 0.490 0.374 0.249
Tm 0.626 0.875 0.619
Tm 0.626 0.876 0.117
Tm 0.759 0.510 0.883
Tm 0.993 0.374 0.249
Si 0.000 0.000 0.000
Ge 0.251 0.625 0.125
Ge 0.375 0.500 0.625
Ge 0.500 0.126 0.875
Ge 0.750 0.250 0.500
Ge 0.874 0.749 0.375


A plane-wave DFT calculation with PBE-GGA was carried out for a relaxed structure of Tm5SiGe6.

Formation energy (no corrections) (eV/f.u.): -6.8
V (A^3/atom): 22.07
Space group: No. 12

a = 8.118 Å, b = 8.118 Å, c = 5.460 Å
α = 101.33°, β = 101.33°, γ = 125.44°
Fractional coordinates of all 12 atoms:
Tm 0.000 0.000 0.000
Tm 0.186 0.814 0.500
Tm 0.384 0.616 0.000
Tm 0.616 0.384 0.000
Tm 0.814 0.186 0.500
Si 0.500 0.500 0.500
Ge 0.003 0.383 0.140
Ge 0.192 0.192 0.604
Ge 0.383 0.003 0.140
Ge 0.617 0.997 0.860
Ge 0.808 0.808 0.396
Ge 0.997 0.617 0.860